Record 1
This record from Alexandria describes a geometry-optimized NaTiCr2In structure. The functional is PBE-GGA.

Results
* E: -26.5 eV per cell
* Fermi-level density of states: 3.37 states/eV/f.u.
* DFT formation energy: 938 meV per atom

Cell lengths 4.6284, 4.6284, 5.3940 Å; angles 90.00, 90.00, 90.00 degrees
Space group P4/mmm (No. 123)
Symmetry-distinct sites (fractional):
Na (0.0000, 0.0000, 0.0000) [1 per cell]
Ti (0.5000, 0.5000, 0.5000) [1 per cell]
Cr (0.0000, 0.5000, 0.5000) [2 per cell]
In (0.5000, 0.5000, 0.0000) [1 per cell]

Record 2
This record from Alexandria describes a geometry-optimized Nb2NiMoH structure. The functional is PBE-GGA.

Results
* E: -40.1 eV per cell
* Fermi-level density of states: 4.31 states/eV/f.u.
* polymorph energy (0 for the lowest one): 0.1250 eV/atom

Cell lengths 4.2304, 4.2304, 3.7124 Å; angles 90.00, 90.00, 90.00 degrees
Space group P4/mmm (No. 123)
Symmetry-distinct sites (fractional):
Nb (0.0000, 0.5000, 0.0000) [2 per cell]
Ni (0.0000, 0.0000, 0.5000) [1 per cell]
Mo (0.5000, 0.5000, 0.5000) [1 per cell]
H (0.5000, 0.5000, 0.0000) [1 per cell]